Record 1
{
  "formula": "BaSb2As",
  "functional": "GGA-PBE",
  "state": "relaxed",
  "sg": "F-43m, No. 216",
  "formation_energy_uncorrected_ev_per_atom": -0.19,
  "cell": [[5.5550, 0.0000, 0.0000], [2.7775, 4.8108, 0.0000], [2.7775, 1.6036, 4.5357]],
  "species": ["As", "Sb", "Sb", "Ba"],
  "frac_coords": [[0.5000, 0.5000, 0.5000], [0.2500, 0.2500, 0.2500], [0.0000, 0.0000, 0.0000], [0.7500, 0.7500, 0.7500]]
}

---

Record 2
{
  "formula": "BaSb2As",
  "functional": "GGA-PBE",
  "state": "relaxed",
  "sg": "Pm, No. 6",
  "formation_energy_uncorrected_ev_per_atom": -0.45,
  "cell": [[-0.8593, 3.1972, 3.1246], [-4.9741, -0.4556, -0.9017], [-1.7626, -4.3187, 3.9343]],
  "species": ["Sb", "Sb", "As", "Ba"],
  "frac_coords": [[0.5000, 0.3317, 0.2390], [0.0000, 0.1045, 0.0108], [0.0000, 0.3125, 0.5666], [0.5000, 0.7512, 0.6836]]
}

---

Record 3
{
  "formula": "BaSb2As2",
  "functional": "GGA-PBE",
  "state": "relaxed",
  "e_above_lowest_polymorph_ev_per_atom": 0.056,
  "sg": "P4/mbm, No. 127",
  "formation_energy_uncorrected_ev_per_atom": -0.30,
  "cell": [[-3.9278, 0.9417, 8.0162], [-3.2815, -8.3313, -0.6292], [3.2144, -1.3974, 1.7392]],
  "species": ["Ba", "Ba", "As", "As", "As", "As", "Sb", "Sb", "Sb", "Sb"],
  "frac_coords": [[0.0000, 0.0000, 0.0000], [0.5000, 0.5000, 0.0000], [0.8410, 0.6590, 0.0000], [0.1590, 0.3410, 0.0000], [0.3410, 0.8410, 0.0000], [0.6590, 0.1590, 0.0000], [0.1958, 0.6958, 0.5000], [0.8042, 0.3042, 0.5000], [0.3042, 0.1958, 0.5000], [0.6958, 0.8042, 0.5000]]
}

---

Record 4
{
  "formula": "BaSbAs",
  "functional": "GGA-PBE",
  "state": "relaxed",
  "e_above_lowest_polymorph_ev_per_atom": 0.373,
  "sg": "F-43m, No. 216",
  "formation_energy_uncorrected_ev_per_atom": -0.41,
  "cell": [[-4.5842, 1.1270, 2.4334], [-0.2831, -0.0872, 5.3027], [-0.5239, 4.5396, 2.7063]],
  "species": ["Sb", "Ba", "As"],
  "frac_coords": [[0.5000, 0.5000, 0.5000], [0.0000, 0.0000, 0.0000], [0.7500, 0.7500, 0.7500]]
}

---

Record 5
{
  "formula": "BaSbAs",
  "functional": "GGA-PBE",
  "state": "relaxed",
  "e_above_lowest_polymorph_ev_per_atom": 0.238,
  "sg": "I4mm, No. 107",
  "formation_energy_uncorrected_ev_per_atom": -0.54,
  "cell": [[5.7589, -0.0165, -0.0111], [1.7687, 5.4806, 0.0111], [-3.7567, -2.7417, 3.3963]],
  "species": ["Sb", "Ba", "As"],
  "frac_coords": [[0.6982, 0.6982, 0.0000], [0.3338, 0.3338, 0.0000], [0.9679, 0.9679, 0.0000]]
}

---

Record 6
{
  "formula": "BaSb2As",
  "functional": "GGA-PBE",
  "state": "relaxed",
  "sg": "R-3m, No. 166",
  "formation_energy_uncorrected_ev_per_atom": -0.20,
  "cell": [[8.8918, 0.0273, 0.0164], [7.8765, 4.1262, 0.0164], [7.8765, 1.9510, 3.6358]],
  "species": ["Sb", "Sb", "As", "Ba"],
  "frac_coords": [[0.5181, 0.5181, 0.5181], [0.9819, 0.9819, 0.9819], [0.2500, 0.2500, 0.2500], [0.7500, 0.7500, 0.7500]]
}

---

Record 7
{
  "formula": "BaSbAs2",
  "functional": "GGA-PBE",
  "state": "relaxed",
  "sg": "R-3m, No. 166",
  "formation_energy_uncorrected_ev_per_atom": -0.34,
  "cell": [[-4.6896, -4.1702, 5.0245], [-4.0984, -6.7157, 1.6524], [-1.0992, -6.4475, 4.6744]],
  "species": ["Ba", "As", "As", "Sb"],
  "frac_coords": [[0.2500, 0.2500, 0.2500], [0.4854, 0.4854, 0.4854], [0.0146, 0.0146, 0.0146], [0.7500, 0.7500, 0.7500]]
}

---

Record 8
{
  "formula": "BaSb2As",
  "functional": "GGA-PBE",
  "state": "relaxed",
  "sg": "I-42d, No. 122",
  "formation_energy_uncorrected_ev_per_atom": -0.31,
  "cell": [[-2.0466, -6.7256, 4.5756], [2.8933, -5.0115, -6.0722], [4.0610, -5.8223, 0.9468]],
  "species": ["Ba", "Ba", "Sb", "Sb", "Sb", "Sb", "As", "As"],
  "frac_coords": [[0.7500, 0.2500, 0.5000], [0.0000, 0.0000, 0.0000], [0.8750, 0.7968, 0.7500], [0.5468, 0.1250, 0.2500], [0.3750, 0.4532, 0.7500], [0.2032, 0.6250, 0.2500], [0.5000, 0.5000, 0.0000], [0.2500, 0.7500, 0.5000]]
}

---

Record 9
{
  "formula": "BaSbAs2",
  "functional": "GGA-PBE",
  "state": "relaxed",
  "sg": "I-4m2, No. 119",
  "formation_energy_uncorrected_ev_per_atom": -0.22,
  "cell": [[-1.9518, 5.5453, -2.4285], [-5.9083, 0.5892, -2.2808], [2.9128, -2.1697, 5.2216]],
  "species": ["Ba", "Sb", "As", "As"],
  "frac_coords": [[0.5000, 0.5000, 0.0000], [0.7500, 0.2500, 0.5000], [0.0000, 0.0000, 0.0000], [0.2500, 0.7500, 0.5000]]
}

---

Record 10
{
  "formula": "BaSb2As",
  "functional": "GGA-PBE",
  "state": "relaxed",
  "sg": "I-4m2, No. 119",
  "formation_energy_uncorrected_ev_per_atom": -0.24,
  "cell": [[-5.7393, 1.0780, 0.2162], [-1.2187, 0.0869, 5.7145], [4.1453, 2.9475, -2.8769]],
  "species": ["Sb", "Sb", "Ba", "As"],
  "frac_coords": [[0.2500, 0.7500, 0.5000], [0.0000, 0.0000, 0.0000], [0.7500, 0.2500, 0.5000], [0.5000, 0.5000, 0.0000]]
}

---

Record 11
{
  "formula": "BaSbAs2",
  "functional": "GGA-PBE",
  "state": "relaxed",
  "sg": "I4/mmm, No. 139",
  "formation_energy_uncorrected_ev_per_atom": -0.23,
  "cell": [[-0.2499, 4.7698, 2.8596], [-4.3936, 2.3330, -2.4989], [0.1330, -5.1041, 2.2184]],
  "species": ["As", "As", "Ba", "Sb"],
  "frac_coords": [[0.0000, 0.0000, 0.0000], [0.5000, 0.5000, 0.0000], [0.2500, 0.7500, 0.5000], [0.7500, 0.2500, 0.5000]]
}

---

Record 12
{
  "formula": "BaSbAs2",
  "functional": "GGA-PBE",
  "state": "relaxed",
  "sg": "Pmmm, No. 47",
  "formation_energy_uncorrected_ev_per_atom": -0.26,
  "cell": [[-0.4062, 1.6527, 3.9684], [2.1057, -2.9222, 1.4325], [5.5701, 3.5653, -0.9146]],
  "species": ["Sb", "As", "As", "Ba"],
  "frac_coords": [[0.5000, 0.5000, 0.7500], [0.0000, 0.0000, 0.5599], [0.0000, 0.0000, 0.9401], [0.5000, 0.5000, 0.2500]]
}